Material: CoOsOF2
Method: DFT, PBE with a Hubbard U
State: relaxed

a = 4.354 Å, b = 3.729 Å, c = 4.354 Å
α = 90.00°, β = 90.00°, γ = 90.00°
Last column: magnetic moment on the atom in μB.
Positions (direct):
Co  0.500  0.500  0.500  2.46
Os  0.000  0.000  0.000  -0.19
O  0.000  0.500  0.000  0.00
F  0.000  0.000  0.500  0.00
F  0.500  0.000  0.000  0.01

- VASP energy: -5.28 eV/atom